Cs3TbEr2Se6 (PBE, optimized geometry); symmetry = C2/m (12); energy = -4.82 eV per atom; uncorrected formation energy = -1.72 eV/atom; calculated volume = 32.8 Å³/atom; magnetization = 0.0 μB per formula unit; D(E_F) = 0.00 states/eV per atom
1.0
-0.131 -1.650 7.176
-1.634 -5.159 -4.994
8.654 0.063 -1.087
Cs Tb Er Se
3 1 2 6
direct
0.166 0.834 0.500
0.834 0.166 0.500
0.500 0.500 0.500
0.000 0.000 0.000
0.333 0.667 0.000
0.667 0.333 0.000
0.938 0.602 0.815
0.725 0.725 0.185
0.062 0.398 0.185
0.602 0.938 0.815
0.275 0.275 0.815
0.398 0.062 0.185

Ba5Tc3 (PBE, optimized geometry); symmetry = Ama2 (40); energy = -4.12 eV per atom; calculated volume = 34.7 Å³/atom; magnetization = 0.0 μB per formula unit; D(E_F) = 1.08 states/eV per atom; ΔE_f = 7.79 eV/f.u.
1.0
-4.957 -0.577 9.232
-1.934 -7.123 -7.456
4.284 -3.352 2.091
Ba Tc
10 6
direct
0.333 0.666 0.000
0.667 0.334 0.500
0.667 0.334 0.000
0.333 0.666 0.500
0.266 0.000 0.250
0.734 0.000 0.750
0.999 0.265 0.250
0.735 0.735 0.250
0.265 0.265 0.750
0.000 0.734 0.750
0.528 0.000 0.250
0.473 0.000 0.750
0.000 0.527 0.250
0.473 0.473 0.250
0.527 0.527 0.750
0.000 0.472 0.750

- Among the records above, which one has the lowest calculated volume?
  Cs3TbEr2Se6